Crystalline Ce2PmSc3As6 at its relaxed geometry. Source: Alexandria via LeMat-Bulk, functional PBE.

Lattice parameters (Å, degrees): 7.043 7.043 6.975 99.68 99.68 119.99
Positions (direct):
Ce (0.167, 0.833, 0.000)
Ce (0.833, 0.167, 0.000)
Pm (0.500, 0.500, 0.000)
Sc (0.000, 0.000, 0.500)
Sc (0.334, 0.666, 0.500)
Sc (0.666, 0.334, 0.500)
As (0.074, 0.410, 0.730)
As (0.254, 0.254, 0.271)
As (0.410, 0.074, 0.730)
As (0.590, 0.926, 0.270)
As (0.746, 0.746, 0.729)
As (0.926, 0.590, 0.270)

Output
Space group ... C2/m
Formation energy from the elements ... -1.40 eV/atom
Theoretical density ... 5941 kg/m3

Crystalline Ce2PmScAs4 at its relaxed geometry. Source: Alexandria via LeMat-Bulk, functional PBE.

Lattice parameters (Å, degrees): 7.159 4.152 7.184 90.00 109.54 90.00
Positions (direct):
Ce (0.000, 0.000, 0.000)
Ce (0.000, 0.500, 0.500)
Pm (0.500, 0.000, 0.500)
Sc (0.500, 0.500, 0.000)
As (0.254, 0.500, 0.241)
As (0.261, 0.000, 0.764)
As (0.739, 0.000, 0.236)
As (0.746, 0.500, 0.759)

Output
Space group ... P2/m
Formation energy from the elements ... -1.41 eV/atom
Theoretical density ... 6353 kg/m3

Crystalline Ce3PmSc2As6 at its relaxed geometry. Source: Alexandria via LeMat-Bulk, functional PBE.

Lattice parameters (Å, degrees): 7.138 7.138 7.102 99.69 99.69 120.00
Positions (direct):
Ce (0.000, 0.000, 0.000)
Ce (0.337, 0.663, 0.000)
Ce (0.663, 0.337, 0.000)
Pm (0.500, 0.500, 0.500)
Sc (0.168, 0.832, 0.500)
Sc (0.832, 0.168, 0.500)
As (0.075, 0.420, 0.260)
As (0.233, 0.233, 0.736)
As (0.420, 0.075, 0.260)
As (0.580, 0.925, 0.740)
As (0.767, 0.767, 0.264)
As (0.925, 0.580, 0.740)

Output
Space group ... C2/m
Formation energy from the elements ... -1.40 eV/atom
Theoretical density ... 6217 kg/m3

Crystalline CePm2ScAs4 at its relaxed geometry. Source: Alexandria via LeMat-Bulk, functional PBE.

Lattice parameters (Å, degrees): 7.157 4.152 7.190 90.00 109.40 90.00
Positions (direct):
Ce (0.000, 0.000, 0.000)
Pm (0.000, 0.500, 0.500)
Pm (0.500, 0.000, 0.500)
Sc (0.500, 0.500, 0.000)
As (0.254, 0.500, 0.240)
As (0.262, 0.000, 0.767)
As (0.738, 0.000, 0.233)
As (0.746, 0.500, 0.760)

Output
Space group ... P2/m
Formation energy from the elements ... -1.44 eV/atom
Theoretical density ... 6383 kg/m3

Crystalline CePmSc2As4 at its relaxed geometry. Source: Alexandria via LeMat-Bulk, functional PBE.

Lattice parameters (Å, degrees): 6.981 4.066 7.047 90.00 109.56 90.00
Positions (direct):
Ce (0.000, 0.000, 0.000)
Pm (0.000, 0.500, 0.500)
Sc (0.500, 0.000, 0.500)
Sc (0.500, 0.500, 0.000)
As (0.270, 0.500, 0.255)
As (0.271, 0.000, 0.759)
As (0.729, 0.000, 0.241)
As (0.730, 0.500, 0.745)

Output
Space group ... P2/m
Formation energy from the elements ... -1.41 eV/atom
Theoretical density ... 5943 kg/m3

Crystalline Ce2Pm3ScAs6 at its relaxed geometry. Source: Alexandria via LeMat-Bulk, functional PBE.

Lattice parameters (Å, degrees): 9.330 9.330 8.351 103.10 103.10 25.89
Positions (direct):
Ce (0.164, 0.164, 0.330)
Ce (0.836, 0.836, 0.670)
Pm (0.167, 0.167, 0.835)
Pm (0.500, 0.500, 0.500)
Pm (0.833, 0.833, 0.165)
Sc (0.500, 0.500, 0.000)
As (0.000, 0.000, 0.236)
As (0.000, 0.000, 0.764)
As (0.332, 0.332, 0.419)
As (0.339, 0.339, 0.917)
As (0.661, 0.661, 0.083)
As (0.668, 0.668, 0.581)

Output
Space group ... C2/m
Formation energy from the elements ... -1.45 eV/atom
Theoretical density ... 6508 kg/m3

Crystalline CePmAsSe at its relaxed geometry. Source: Alexandria via LeMat-Bulk, functional PBE.

Lattice parameters (Å, degrees): 4.217 4.217 20.762 90.00 90.00 120.00
Positions (direct):
Ce (0.000, 0.000, 0.000)
Ce (0.333, 0.667, 0.667)
Ce (0.667, 0.333, 0.333)
Pm (0.000, 0.000, 0.505)
Pm (0.333, 0.667, 0.172)
Pm (0.667, 0.333, 0.838)
As (0.000, 0.000, 0.253)
As (0.333, 0.667, 0.919)
As (0.667, 0.333, 0.586)
Se (0.000, 0.000, 0.752)
Se (0.333, 0.667, 0.419)
Se (0.667, 0.333, 0.086)

Output
Energy relative to the elements, uncorrected ... -1694 meV per atom
Space group ... R3m
Theoretical density ... 6840 kg/m3

Crystalline CePm2SmAs4 at its relaxed geometry. Source: Alexandria via LeMat-Bulk, functional PBE.

Lattice parameters (Å, degrees): 7.315 4.225 7.317 90.00 109.41 90.00
Positions (direct):
Ce (0.000, 0.000, 0.000)
Pm (0.000, 0.500, 0.500)
Pm (0.500, 0.000, 0.500)
Sm (0.500, 0.500, 0.000)
As (0.248, 0.500, 0.247)
As (0.249, 0.000, 0.753)
As (0.751, 0.000, 0.247)
As (0.752, 0.500, 0.753)

Output
Space group ... P2/m
Formation energy from the elements ... -1.51 eV/atom
Theoretical density ... 6852 kg/m3